Below is a PBEsol-optimized structure of KIrBr, with properties calculated at the meta-GGA SCAN level.

a b c (Å): 5.1627 5.1627 5.1627
angles (deg): 60.00 60.00 60.00
Positions (direct):
Br1 0.0000 0.0000 0.0000
Ir1 0.5000 0.5000 0.5000
K1 0.2500 0.2500 0.2500

Results
**Symmetry**: No. 216
**Electronic total energy**: -31.908 eV/atom
**Fermi-level density of states**: 5.60 states/eV/cell

---

Below is a PBEsol-optimized structure of KIrBr2, with properties calculated at the meta-GGA SCAN level.

a b c (Å): 3.4571 3.4571 8.2575
angles (deg): 90.00 90.00 90.00
Positions (direct):
Br1 0.0000 0.0000 0.9885
Br2 0.5000 0.5000 0.3379
Ir1 0.0000 0.0000 0.4173
K1 0.5000 0.5000 0.7563

Results
**Symmetry**: No. 99
**Electronic total energy**: -29.522 eV/atom
**Fermi-level density of states**: 2.71 states/eV/cell
**Relative energy among the computed polymorphs**: 503 meV/atom

---

Looking at formation energy from raw total energies for the records above, in order, we have 101.8; 6.2 kJ per mole of atoms.